## NbBrNF2 (GGA-PBE)

Data for a relaxed structure of NbBrNF2.

The value obtained for the total magnetic moment is 3.09 μB per formula unit. The value obtained for the density of states at the Fermi level is 7.93 states/eV/f.u. The crystal system is tetragonal. For the uncorrected formation energy, the calculation gives 0.8767 eV per atom.

The structure belongs to space group P4/mmm (No. 123); the cell edges are 4.8842, 4.8842 and 3.6656 Å and the angles 90.00°, 90.00° and 90.00°. The inequivalent atoms are Nb at (0.0000, 0.0000, 0.0000), Br at (0.5000, 0.5000, 0.5000), N at (0.5000, 0.5000, 0.0000) and F at (0.0000, 0.5000, 0.5000).